(1)
Compound: TbNi4Pd8
Source: Alexandria via LeMat-Bulk
Functional: PBE
Structure: optimized geometry

Results
formation energy from the elements	-0.243	eV per atom
size of the total moment	0.328	μB/atom
energy	-5.5739	eV per atom

Cell: 5.0095 6.7411 6.7411 Å, 82.06 68.19 68.19°
With the nearest neighbours (Å) after each atom.
Fractional positions:
Ni 0.0000 0.0000 0.5000  2 Ni 2.50, 8 Pd 2.56-2.68
Ni 0.5000 0.5000 0.0000  2 Ni 2.50, 8 Pd 2.56-2.68
Ni 0.0000 0.5000 0.0000  2 Ni 2.50, 8 Pd 2.56-2.68
Ni 0.5000 0.0000 0.5000  2 Ni 2.50, 8 Pd 2.56-2.68
Tb 0.0000 0.0000 0.0000  12 Pd 3.05-3.16, 8 Ni 3.37
Pd 0.5000 0.7824 0.2176  4 Ni 2.56, 6 Pd 2.72-2.85
Pd 0.3450 0.6550 0.6550  4 Ni 2.68, 5 Pd 2.74-2.85
Pd 0.2824 0.2176 0.2176  4 Ni 2.56, 6 Pd 2.72-2.85
Pd 0.0000 0.3450 0.6550  4 Ni 2.68, 5 Pd 2.74-2.85
Pd 0.5000 0.2176 0.7824  4 Ni 2.56, 6 Pd 2.72-2.85
Pd 0.6550 0.3450 0.3450  4 Ni 2.68, 5 Pd 2.74-2.85
Pd 0.0000 0.6550 0.3450  4 Ni 2.68, 5 Pd 2.74-2.85
Pd 0.7176 0.7824 0.7824  4 Ni 2.56, 6 Pd 2.72-2.85

(2)
Compound: TbNiPd
Source: Alexandria via LeMat-Bulk
Functional: PBE
Structure: optimized geometry

Results
formation energy from the elements	-0.556	eV per atom
size of the total moment	0.001	μB/atom
energy	-5.7573	eV per atom

Cell: 3.6843 4.2448 4.2448 Å, 120.00 90.00 90.00°
With the nearest neighbours (Å) after each atom.
Fractional positions:
Tb 0.6667 0.6667 0.3333  6 Ni 3.07, 6 Pd 3.07
Ni 0.1665 0.3333 0.6667  3 Pd 2.45
Pd 0.1668 0.0000 0.0000  3 Ni 2.45

(3)
Compound: Tb6NiPd2
Source: Alexandria via LeMat-Bulk
Functional: PBE
Structure: optimized geometry

Results
formation energy from the elements	-0.462	eV per atom
size of the total moment	0.000	μB/atom
energy	-5.3453	eV per atom

Cell: 6.5751 7.2462 10.0169 Å, 90.00 91.13 90.00°
With the nearest neighbours (Å) after each atom.
Fractional positions:
Ni 0.0000 0.0000 0.5000  6 Tb 2.67-2.71
Ni 0.5000 0.5000 0.0000  6 Tb 2.67-2.71
Tb 0.1495 0.0350 0.7531  1 Ni 2.71, 2 Pd 2.88-2.91
Tb 0.8361 0.6830 0.9349  1 Ni 2.67, 1 Pd 2.88
Tb 0.3505 0.5350 0.7469  1 Ni 2.71, 2 Pd 2.88-2.91
Tb 0.8505 0.9650 0.2469  1 Ni 2.71, 2 Pd 2.88-2.91
Tb 0.1741 0.3229 0.4322  1 Ni 2.70, 2 Pd 2.91-2.94
Tb 0.6741 0.1771 0.9322  1 Ni 2.70, 2 Pd 2.91-2.94
Tb 0.3259 0.8229 0.0678  1 Ni 2.70, 2 Pd 2.91-2.94
Tb 0.6495 0.4650 0.2531  1 Ni 2.71, 2 Pd 2.88-2.91
Tb 0.8259 0.6771 0.5678  1 Ni 2.70, 2 Pd 2.91-2.94
Tb 0.3361 0.8170 0.4349  1 Ni 2.67, 1 Pd 2.88
Tb 0.1639 0.3170 0.0651  1 Ni 2.67, 1 Pd 2.88
Tb 0.6639 0.1830 0.5651  1 Ni 2.67, 1 Pd 2.88
Pd 0.5598 0.8846 0.7417  6 Tb 2.88-3.01
Pd 0.4402 0.1154 0.2583  6 Tb 2.88-3.01
Pd 0.0598 0.6154 0.2417  6 Tb 2.88-3.01
Pd 0.9402 0.3846 0.7583  6 Tb 2.88-3.01

(4)
Compound: Tb8Ni2Pd
Source: Alexandria via LeMat-Bulk
Functional: PBE
Structure: optimized geometry

Results
formation energy from the elements	-0.291	eV per atom
size of the total moment	0.000	μB/atom
energy	-5.1817	eV per atom
E above lowest polymorph	0.0000	eV per atom

Cell: 5.0465 6.6067 9.1428 Å, 106.06 106.02 90.00°
With the nearest neighbours (Å) after each atom.
Fractional positions:
Tb 0.5923 0.4637 0.1847  1 Pd 3.03, 2 Ni 3.21, 1 Tb 3.38
Tb 0.6756 0.9929 0.3511  1 Ni 2.67
Tb 0.9644 0.2120 0.9289  1 Ni 2.65
Tb 0.3244 0.0071 0.6489  1 Ni 2.67
Tb 0.0356 0.7880 0.0711  1 Ni 2.65
Tb 0.4077 0.5363 0.8153  1 Pd 3.03, 2 Ni 3.21, 1 Tb 3.38
Tb 0.7997 0.6582 0.5994  1 Ni 2.72
Tb 0.2003 0.3418 0.4006  1 Ni 2.72
Ni 0.1789 0.7336 0.3578  3 Tb 2.65-2.72
Ni 0.8211 0.2664 0.6422  3 Tb 2.65-2.72
Pd 0.5000 0.0000 0.0000  8 Tb 3.03-3.10